PBE Ca5Tl4Sn, relaxed; total DFT energy (no corrections) = -2.8196 eV per atom; V = 29.3 Å³ per atom; space-group type = No. 123
1.0
3.893 0.000 0.000
0.000 3.893 0.000
0.000 0.000 19.339
Ca Tl Sn
5 4 1
direct
0.000 0.000 0.000 Ca
0.000 0.000 0.200 Ca
0.000 0.000 0.401 Ca
0.000 0.000 0.599 Ca
0.000 0.000 0.800 Ca
0.500 0.500 0.101 Tl
0.500 0.500 0.298 Tl
0.500 0.500 0.702 Tl
0.500 0.500 0.899 Tl
0.500 0.500 0.500 Sn